Below is an optimized crystal structure of CaPrEuAl, with properties calculated at the GGA-PBE level.

Results
For the formation energy from the elements, the calculation gives -0.05 eV per atom. The total energy is -5.25 eV per atom. The total moment is 7.39 μB per formula unit. Its crystal system is cubic.

a = 7.9201 Å, b = 7.9201 Å, c = 7.9201 Å
α = 90.00°, β = 90.00°, γ = 90.00°
Closest atoms and distances in Å follow each position.
Space group F-43m (No. 216)
Asymmetric unit:
Ca: 0.0000 0.0000 0.0000 x4  4 Pr 3.43, 4 Eu 3.43
Pr: 0.2500 0.2500 0.7500 x4  4 Ca 3.43, 4 Al 3.43
Eu: 0.2500 0.2500 0.2500 x4  4 Ca 3.43, 4 Al 3.43
Al: 0.0000 0.0000 0.5000 x4  4 Pr 3.43, 4 Eu 3.43

Below is an optimized crystal structure of CaEuAlTl, with properties calculated at the GGA-PBE level.

Results
For the formation energy from the elements, the calculation gives -0.32 eV per atom. The total energy is -4.91 eV per atom. The total moment is 7.08 μB per formula unit. Its crystal system is cubic.

a = 7.6930 Å, b = 7.6930 Å, c = 7.6930 Å
α = 90.00°, β = 90.00°, γ = 90.00°
Closest atoms and distances in Å follow each position.
Space group F-43m (No. 216)
Asymmetric unit:
Ca: 0.0000 0.0000 0.0000 x4  4 Al 3.33, 4 Tl 3.33
Eu: 0.0000 0.0000 0.5000 x4  4 Tl 3.33, 4 Al 3.33
Al: 0.2500 0.2500 0.2500 x4  4 Ca 3.33, 4 Eu 3.33
Tl: 0.2500 0.2500 0.7500 x4  4 Ca 3.33, 4 Eu 3.33

Below is an optimized crystal structure of CaEuTmAl, with properties calculated at the GGA-PBE level.

Results
For the formation energy from the elements, the calculation gives -0.01 eV per atom. The total energy is -5.13 eV per atom. The total moment is 7.22 μB per formula unit. Its crystal system is cubic.

a = 7.7508 Å, b = 7.7508 Å, c = 7.7508 Å
α = 90.00°, β = 90.00°, γ = 90.00°
Closest atoms and distances in Å follow each position.
Space group F-43m (No. 216)
Asymmetric unit:
Ca: 0.0000 0.0000 0.0000 x4  4 Tm 3.36, 4 Eu 3.36
Eu: 0.2500 0.2500 0.2500 x4  4 Ca 3.36, 4 Al 3.36
Tm: 0.2500 0.2500 0.7500 x4  4 Al 3.36, 4 Ca 3.36
Al: 0.0000 0.0000 0.5000 x4  4 Eu 3.36, 4 Tm 3.36

Below is an optimized crystal structure of CaAl2F, with properties calculated at the GGA-PBE level.

Results
The total energy is -3.48 eV per atom. The total moment is 0.00 μB per formula unit. Its crystal system is tetragonal. The calculation puts the formation energy without anion corrections at -2.6 eV per formula unit.

a = 4.9748 Å, b = 4.9748 Å, c = 15.0899 Å
α = 90.00°, β = 90.00°, γ = 90.00°
Closest atoms and distances in Å follow each position.
Space group I-42d (No. 122)
Asymmetric unit:
Ca: 0.0000 0.0000 0.0000 x4  4 Al 3.15, 4 F 3.52
Al: 0.0601 0.2500 0.6250 x8  2 F 2.28
F: 0.0000 0.0000 0.5000 x4  4 Al 2.28

Below is an optimized crystal structure of CaAl2F8, with properties calculated at the GGA-PBE level.

Results
The total energy is -5.74 eV per atom. The total moment is 0.12 μB per formula unit. Its crystal system is monoclinic. The calculation puts the formation energy without anion corrections at -38.7 eV per formula unit.

a = 9.7383 Å, b = 5.7833 Å, c = 5.1197 Å
α = 90.00°, β = 98.39°, γ = 90.00°
Closest atoms and distances in Å follow each position.
Space group C2/m (No. 12)
Asymmetric unit:
Ca: 0.0000 0.0000 0.0000 x2  6 F 2.17-2.42
Al: 0.2247 0.5000 0.4844 x4  4 F 1.71-1.89
F: 0.1165 0.5000 0.7198 x4  1 Al 1.71
F: 0.1489 0.2237 0.3266 x8  2 Al 1.89-1.94
F: 0.1669 0.0000 0.7627 x4  1 Al 1.76

Below is an optimized crystal structure of Ca3AlF, with properties calculated at the GGA-PBE level.

Results
The total energy is -3.48 eV per atom. The total moment is 0.00 μB per formula unit. Its crystal system is cubic. The calculation puts the formation energy without anion corrections at -5.8 eV per formula unit.

a = 4.9298 Å, b = 4.9298 Å, c = 4.9298 Å
α = 90.00°, β = 90.00°, γ = 90.00°
Closest atoms and distances in Å follow each position.
Space group Pm-3m (No. 221)
Asymmetric unit:
Ca: 0.0000 0.0000 0.5000 x3  2 F 2.46
Al: 0.5000 0.5000 0.5000 x1  12 Ca 3.49
F: 0.0000 0.0000 0.0000 x1  6 Ca 2.46

Below is an optimized crystal structure of CaAlF5, with properties calculated at the GGA-PBE level.

Results
The total energy is -5.89 eV per atom. The total moment is 0.00 μB per formula unit. Its crystal system is orthorhombic. The calculation puts the formation energy without anion corrections at -26.1 eV per formula unit.

a = 3.7257 Å, b = 6.5089 Å, c = 7.9904 Å
α = 90.00°, β = 90.00°, γ = 90.00°
Closest atoms and distances in Å follow each position.
Space group Immm (No. 71)
Asymmetric unit:
Ca: 0.0000 0.0000 0.0000 x2  6 F 2.21-2.33
Al: 0.0000 0.0000 0.5000 x2  6 F 1.78-1.86
F: 0.0000 0.0000 0.2769 x4  1 Al 1.78
F: 0.0000 0.2838 0.5000 x4  1 Al 1.85
F: 0.0000 0.5000 0.0000 x2  2 Al 1.86

Below is an optimized crystal structure of Ca2AlF, with properties calculated at the GGA-PBE level.

Results
The total energy is -3.58 eV per atom. The total moment is 0.00 μB per formula unit. Its crystal system is tetragonal. The calculation puts the formation energy without anion corrections at -4.7 eV per formula unit.

a = 3.3209 Å, b = 3.3209 Å, c = 7.8621 Å
α = 90.00°, β = 90.00°, γ = 90.00°
Closest atoms and distances in Å follow each position.
Space group P4/mmm (No. 123)
Asymmetric unit:
Ca: 0.0000 0.0000 0.2334 x2  4 F 2.98, 4 Al 3.15, 4 Ca 3.32
Al: 0.5000 0.5000 0.5000 x1  8 Ca 3.15, 4 Al 3.32
F: 0.5000 0.5000 0.0000 x1  8 Ca 2.98, 4 F 3.32

Below is an optimized crystal structure of Ca2AlF, with properties calculated at the GGA-PBE level.

Results
The total energy is -3.29 eV per atom. The total moment is 1.08 μB per formula unit. Its crystal system is trigonal. The calculation puts the formation energy without anion corrections at -3.5 eV per formula unit.

a = 3.5217 Å, b = 3.5217 Å, c = 28.3983 Å
α = 90.00°, β = 90.00°, γ = 120.00°
Closest atoms and distances in Å follow each position.
Space group R-3m (No. 166, hexagonal axes)
Asymmetric unit:
Ca: 0.0000 0.0000 0.1086 x6  3 F 2.62
Al: 0.0000 0.0000 0.0000 x3  2 Ca 3.08
F: 0.0000 0.0000 0.5000 x3  6 Ca 2.62

Below is an optimized crystal structure of CaAlF5, with properties calculated at the GGA-PBE level.

Results
The total energy is -5.89 eV per atom. The total moment is 0.00 μB per formula unit. Its crystal system is monoclinic. The calculation puts the formation energy without anion corrections at -26.1 eV per formula unit.

a = 8.8073 Å, b = 6.4023 Å, c = 7.4353 Å
α = 90.00°, β = 115.02°, γ = 90.00°
Closest atoms and distances in Å follow each position.
Space group C2/c (No. 15)
Asymmetric unit:
Ca: 0.0000 0.0425 0.2500 x4  6 F 2.22-2.38
Al: 0.0000 0.5000 0.0000 x4  6 F 1.78-1.90
F: 0.0000 0.4413 0.2500 x4  2 Al 1.90
F: 0.0115 0.2163 0.9735 x8  1 Al 1.83
F: 0.2222 0.4824 0.6136 x8  1 Al 1.78

Below is an optimized crystal structure of Ca2AlF, with properties calculated at the GGA-PBE level.

Results
The total energy is -3.25 eV per atom. The total moment is 2.00 μB per formula unit. Its crystal system is cubic. The calculation puts the formation energy without anion corrections at -3.4 eV per formula unit.

a = 7.3691 Å, b = 7.3691 Å, c = 7.3691 Å
α = 90.00°, β = 90.00°, γ = 90.00°
Closest atoms and distances in Å follow each position.
Space group Fm-3m (No. 225)
Asymmetric unit:
Ca: 0.2500 0.2500 0.2500 x8  4 F 3.19, 4 Al 3.19
Al: 0.0000 0.0000 0.0000 x4  8 Ca 3.19
F: 0.0000 0.0000 0.5000 x4  8 Ca 3.19

Below is an optimized crystal structure of CaAlF4, with properties calculated at the GGA-PBE level.

Results
The total energy is -5.53 eV per atom. The total moment is 0.00 μB per formula unit. Its crystal system is monoclinic. The calculation puts the formation energy without anion corrections at -19.9 eV per formula unit.

a = 14.3336 Å, b = 3.2926 Å, c = 9.2813 Å
α = 90.00°, β = 129.89°, γ = 90.00°
Closest atoms and distances in Å follow each position.
Space group C2/m (No. 12)
Asymmetric unit:
Ca: 0.1682 0.0000 0.2706 x4  5 F 2.17-2.37
Al: 0.1507 0.0000 0.8488 x4  4 F 1.85-1.90
F: 0.0592 0.0000 0.9260 x4  1 Al 1.85
F: 0.0767 0.5000 0.7221 x4  2 Al 1.90
F: 0.1538 0.5000 0.4084 x4  3 Ca 2.17-2.37
F: 0.2212 0.0000 0.7372 x4  1 Al 1.85

Copy entry 3 word for word.
Below is an optimized crystal structure of CaEuTmAl, with properties calculated at the GGA-PBE level.

Results
For the formation energy from the elements, the calculation gives -0.01 eV per atom. The total energy is -5.13 eV per atom. The total moment is 7.22 μB per formula unit. Its crystal system is cubic.

a = 7.7508 Å, b = 7.7508 Å, c = 7.7508 Å
α = 90.00°, β = 90.00°, γ = 90.00°
Closest atoms and distances in Å follow each position.
Space group F-43m (No. 216)
Asymmetric unit:
Ca: 0.0000 0.0000 0.0000 x4  4 Tm 3.36, 4 Eu 3.36
Eu: 0.2500 0.2500 0.2500 x4  4 Ca 3.36, 4 Al 3.36
Tm: 0.2500 0.2500 0.7500 x4  4 Al 3.36, 4 Ca 3.36
Al: 0.0000 0.0000 0.5000 x4  4 Eu 3.36, 4 Tm 3.36

> What is the total moment in the fourth record?

0.00 μB per formula unit